(1)
Computed, not measured: a PBEsol-optimized structure of CaTlIr2 at the meta-GGA SCAN level of DFT.

Its magnetization is 0.00 μB per formula unit. The value obtained for the calculated density is 14.37 g/cm³. The total energy is -55.5893 eV/atom. As for the crystal system: trigonal. The value obtained for the energy of formation from the pure elements is 466 meV per atom.

The space group is R-3m (No. 166, hexagonal axes) and the conventional cell measures 3.0289, 3.0289 and 27.4367 Å, with angles of 90.00, 90.00 and 120.00 degrees. The distinct sites, in fractional coordinates, are Ca at (0.0000, 0.0000, 0.0000), Tl at (0.0000, 0.0000, 0.5000) and Ir at (0.0000, 0.0000, 0.2491).

=====

(2)
Computed, not measured: a PBEsol-optimized structure of Sn2Rh2Au at the meta-GGA SCAN level of DFT.

Its magnetization is 0.00 μB per formula unit. The value obtained for the calculated density is 12.36 g/cm³. The total energy is -42.0182 eV/atom. As for the crystal system: tetragonal. The value obtained for the energy of formation from the pure elements is -310 meV per atom.

The space group is P4/mbm (No. 127) and the conventional cell measures 7.423, 7.423 and 3.121 Å, with angles of 90.00, 90.00 and 90.00 degrees. The distinct sites, in fractional coordinates, are Sn at (0.159, 0.341, 0.000), Rh at (0.140, 0.640, 0.500) and Au at (0.000, 0.000, 0.500).

=====

(3)
Computed, not measured: a PBEsol-optimized structure of ReP2OsS at the meta-GGA SCAN level of DFT.

Its magnetization is 1.59 μB per formula unit. The value obtained for the uncorrected formation energy is 1.558 eV/atom. The value obtained for the calculated density is 8.63 g/cm³. The total energy is -33.1227 eV/atom. As for the crystal system: tetragonal.

The space group is P4/mmm (No. 123) and the conventional cell measures 4.532, 4.532 and 4.406 Å, with angles of 90.00, 90.00 and 90.00 degrees. The distinct sites, in fractional coordinates, are Re at (0.000, 0.000, 0.000), P at (0.000, 0.500, 0.000), Os at (0.500, 0.500, 0.500) and S at (0.000, 0.000, 0.500).

=====

(4)
Computed, not measured: a PBEsol-optimized structure of MgCd8 at the meta-GGA SCAN level of DFT.

Its magnetization is 0.00 μB per formula unit. The value obtained for the calculated density is 8.14 g/cm³. The total energy is -27.6157 eV/atom. As for the crystal system: tetragonal. The value obtained for the energy of formation from the pure elements is -28 meV per atom.

The space group is I4/mmm (No. 139) and the conventional cell measures 9.275, 9.275 and 4.380 Å, with angles of 90.00, 90.00 and 90.00 degrees. The distinct sites, in fractional coordinates, are Mg at (0.000, 0.000, 0.000), Cd at (0.000, 0.333, 0.000) and Cd at (0.166, 0.166, 0.500).